Compound: CrPPtO2
Source: Alexandria
Functional: PBE with a Hubbard U
Structure: optimized geometry

Values from the calculation:
The calculation puts the total energy at -5.66 eV per atom. As for the space-group type: No. 123. For the relative energy among the computed polymorphs, the calculation gives 489.3 meV per atom. The value obtained for the density of states at the Fermi level is 4.414 states/eV/cell. The spin magnetization is 2.73 μB/f.u.

Cell lengths 3.835, 3.835, 5.270 Å; angles 90.00, 90.00, 90.00 degrees
Fractional positions:
Cr 0.000 0.000 0.000
P 0.500 0.500 0.000
Pt 0.500 0.500 0.500
O 0.000 0.500 0.500
O 0.500 0.000 0.500